First-principles (PBE) data for TlIrS3 after structural relaxation, as listed in Alexandria.

Summary:
Distance to the lowest polymorph of the same formula = 0.000 eV/atom
N(E_F) = 1.3236 states/eV/atom
Crystal system = cubic
Calculated density = 7.65 g/cm³
Total magnetic moment = 0.85 μB per formula unit
Formation energy without anion corrections = 0.265 eV/atom
Calculated volume = 21.39 Å³/atom

Lattice parameters (Å, degrees): 4.7466 4.7466 4.7466 90.00 90.00 90.00
Closest atoms and distances in Å follow each position.
Sites, in units of the cell vectors:
Tl: 0.0000 0.0000 0.0000  12 S 3.36
Ir: 0.5000 0.5000 0.5000  6 S 2.37
S: 0.0000 0.5000 0.5000  2 Ir 2.37
S: 0.5000 0.0000 0.5000  2 Ir 2.37
S: 0.5000 0.5000 0.0000  2 Ir 2.37

First-principles (PBE) data for GaTe3Au after structural relaxation, as listed in Alexandria.

Summary:
Distance to the lowest polymorph of the same formula = 0.511 eV/atom
N(E_F) = 1.0843 states/eV/atom
Crystal system = cubic
Calculated density = 6.46 g/cm³
Total magnetic moment = 0.00 μB per formula unit
Formation energy without anion corrections = 0.367 eV/atom
Calculated volume = 33.41 Å³/atom

Lattice parameters (Å, degrees): 5.5074 5.5074 5.5074 90.00 90.00 90.00
Closest atoms and distances in Å follow each position.
Sites, in units of the cell vectors:
Ga: 0.0000 0.0000 0.0000  12 Te 3.89
Te: 0.0000 0.5000 0.5000  2 Au 2.75
Te: 0.5000 0.0000 0.5000  2 Au 2.75
Te: 0.5000 0.5000 0.0000  2 Au 2.75
Au: 0.5000 0.5000 0.5000  6 Te 2.75